(1)
An optimized crystal structure of Sc2Al2Tl. Source: Alexandria via LeMat-Bulk, functional PBE-GGA.

a = 3.647 Å, b = 3.647 Å, c = 8.943 Å
α = 78.23°, β = 78.23°, γ = 90.00°
Atoms (fractional coordinates):
1 Sc 0.391 0.391 0.218
2 Al 0.750 0.250 0.500
3 Al 0.250 0.750 0.500
4 Tl 0.000 0.000 0.000
5 Sc 0.609 0.609 0.782

Results
VASP energy = -22.73 eV per cell
Formation energy from the elements = -0.043 eV/atom
Energy above the lowest structure with this stoichiometry = 245.0 meV per atom

(2)
An optimized crystal structure of Sc3AlTl. Source: Alexandria via LeMat-Bulk, functional PBE-GGA.

a = 5.133 Å, b = 5.133 Å, c = 5.133 Å
α = 90.00°, β = 90.00°, γ = 90.00°
Atoms (fractional coordinates):
1 Sc 0.000 0.500 0.000
2 Al 0.000 0.000 0.000
3 Tl 0.500 0.500 0.500
4 Sc 0.500 0.000 0.000
5 Sc 0.000 0.000 0.500

Results
VASP energy = -24.13 eV per cell
Formation energy from the elements = 0.194 eV/atom
Energy above the lowest structure with this stoichiometry = 460.3 meV per atom